A geometry-optimized CsPmFeO4 structure, computed with PBE with a Hubbard U.

E: -90.0 eV/cell
density: 4.69 g/cm3
space-group type: P2_1/m
total magnetization: 8.00 Bohr magnetons per cell

Lattice parameters (Å, degrees): 6.0366 6.1777 7.9753 90.00 108.83 90.00
Site moments in Bohr magnetons follow the coordinates.
Element x y z (fractional)
Pm: 0.8124 0.7500 0.4631  0.03
Pm: 0.1876 0.2500 0.5369  0.03
O: 0.9566 0.4747 0.6687  0.11
O: 0.4566 0.7500 0.2175  0.00
Fe: 0.7415 0.2500 0.6569  3.69
O: 0.5294 0.2500 0.4453  -0.03
O: 0.4706 0.7500 0.5547  -0.03
Cs: 0.3005 0.2500 0.0681  -0.01
O: 0.5434 0.2500 0.7825  0.00
O: 0.0434 0.9747 0.3313  0.11
Fe: 0.2585 0.7500 0.3431  3.69
O: 0.9566 0.0253 0.6687  0.11
O: 0.0434 0.5253 0.3313  0.11
Cs: 0.6995 0.7500 0.9319  -0.01